# 1
Here is CsNa2TlNi after structural relaxation from the Alexandria database. Energies are from PBE-GGA.

Unit cell a=5.805 b=5.805 c=5.086 alpha=90.00 beta=90.00 gamma=90.00
Atoms (fractional coordinates):
Cs: 0.000 0.000 0.000
Na: 0.000 0.500 0.500
Na: 0.500 0.000 0.500
Tl: 0.500 0.500 0.000
Ni: 0.500 0.500 0.500

Output
- Raw total energy: -2.173 eV per atom
- V: 171.4 Å³ per cell
- ΔH_f (0 K): 0.154 eV per atom
- Spin magnetization: 0.00 μB per cell
- Theoretical density: 4282 kg/m3

# 2
Here is CsNaNpO3 after structural relaxation from the Alexandria database. Energies are from PBE-GGA.

Unit cell a=7.354 b=3.626 c=9.831 alpha=90.00 beta=110.35 gamma=90.00
Atoms (fractional coordinates):
Cs: 0.134 0.250 0.191
Cs: 0.866 0.750 0.809
Na: 0.162 0.750 0.549
Na: 0.838 0.250 0.451
Np: 0.377 0.250 0.838
Np: 0.623 0.750 0.162
O: 0.092 0.250 0.677
O: 0.328 0.750 0.978
O: 0.452 0.750 0.734
O: 0.548 0.250 0.266
O: 0.672 0.250 0.022
O: 0.908 0.750 0.323

Output
- Raw total energy: -7.171 eV per atom
- V: 245.8 Å³ per cell
- Energy relative to the elements, uncorrected: -2.173 eV/atom
- Spin magnetization: 6.00 μB per cell
- Theoretical density: 5957 kg/m3

# 3
Here is Cs2NaNpO4 after structural relaxation from the Alexandria database. Energies are from PBE-GGA.

Unit cell a=6.303 b=3.616 c=7.167 alpha=90.00 beta=108.58 gamma=90.00
Atoms (fractional coordinates):
Cs: 0.000 0.000 0.000
Cs: 0.500 0.500 0.000
Na: 0.000 0.500 0.500
Np: 0.500 0.000 0.500
O: 0.290 0.000 0.659
O: 0.306 0.500 0.326
O: 0.694 0.500 0.674
O: 0.710 0.000 0.341

Output
- Raw total energy: -6.582 eV per atom
- V: 154.8 Å³ per cell
- Energy relative to the elements, uncorrected: -2.107 eV/atom
- Spin magnetization: 2.00 μB per cell
- Theoretical density: 6325 kg/m3

# 4
Here is CsNa2NpO4 after structural relaxation from the Alexandria database. Energies are from PBE-GGA.

Unit cell a=11.388 b=3.508 c=7.482 alpha=90.00 beta=95.34 gamma=90.00
Atoms (fractional coordinates):
Cs: 0.000 0.000 0.000
Cs: 0.500 0.500 0.000
Na: 0.238 0.000 0.670
Na: 0.262 0.500 0.330
Na: 0.738 0.500 0.670
Na: 0.762 0.000 0.330
Np: 0.000 0.500 0.500
Np: 0.500 0.000 0.500
O: 0.105 0.000 0.400
O: 0.109 0.500 0.726
O: 0.391 0.000 0.274
O: 0.395 0.500 0.600
O: 0.605 0.500 0.400
O: 0.609 0.000 0.726
O: 0.891 0.500 0.274
O: 0.895 0.000 0.600

Output
- Raw total energy: -6.716 eV per atom
- V: 297.6 Å³ per cell
- Energy relative to the elements, uncorrected: -2.183 eV/atom
- Spin magnetization: 4.00 μB per cell
- Theoretical density: 5355 kg/m3

# 5
Here is Cs2Na3NpO6 after structural relaxation from the Alexandria database. Energies are from PBE-GGA.

Unit cell a=7.318 b=7.318 c=5.906 alpha=100.19 beta=100.19 gamma=125.84
Atoms (fractional coordinates):
Cs: 0.177 0.823 0.000
Cs: 0.823 0.177 0.000
Na: 0.000 0.000 0.500
Na: 0.387 0.613 0.500
Na: 0.613 0.387 0.500
Np: 0.500 0.500 0.000
O: 0.202 0.421 0.763
O: 0.303 0.303 0.191
O: 0.421 0.202 0.763
O: 0.579 0.798 0.237
O: 0.697 0.697 0.809
O: 0.798 0.579 0.237

Output
- Raw total energy: -6.024 eV per atom
- V: 236.2 Å³ per cell
- Energy relative to the elements, uncorrected: -1.995 eV/atom
- Spin magnetization: 0.00 μB per cell
- Theoretical density: 4694 kg/m3

# 6
Here is Cs2NaNpO6 after structural relaxation from the Alexandria database. Energies are from PBE-GGA.

Unit cell a=6.416 b=6.416 c=6.416 alpha=119.94 beta=119.94 gamma=90.11
Atoms (fractional coordinates):
Cs: 0.250 0.750 0.500
Cs: 0.750 0.250 0.500
Na: 0.000 0.000 0.000
Np: 0.500 0.500 0.000
O: 0.283 0.283 0.000
O: 0.283 0.283 0.566
O: 0.283 0.717 0.000
O: 0.717 0.283 0.000
O: 0.717 0.717 0.000
O: 0.717 0.717 0.434

Output
- Raw total energy: -6.444 eV per atom
- V: 187.0 Å³ per cell
- Energy relative to the elements, uncorrected: -1.873 eV/atom
- Spin magnetization: 2.12 μB per cell
- Theoretical density: 5523 kg/m3

# 7
Here is Cs4NaNp3O12 after structural relaxation from the Alexandria database. Energies are from PBE-GGA.

Unit cell a=7.718 b=7.718 c=7.718 alpha=109.47 beta=109.47 gamma=109.47
Atoms (fractional coordinates):
Cs: 0.000 0.000 0.500
Cs: 0.000 0.500 0.000
Cs: 0.500 0.000 0.000
Cs: 0.500 0.500 0.500
Na: 0.000 0.000 0.000
Np: 0.000 0.500 0.500
Np: 0.500 0.000 0.500
Np: 0.500 0.500 0.000
O: 0.000 0.289 0.289
O: 0.000 0.711 0.711
O: 0.250 0.500 0.750
O: 0.250 0.750 0.500
O: 0.289 0.000 0.289
O: 0.289 0.289 0.000
O: 0.500 0.250 0.750
O: 0.500 0.750 0.250
O: 0.711 0.000 0.711
O: 0.711 0.711 0.000
O: 0.750 0.250 0.500
O: 0.750 0.500 0.250

Output
- Raw total energy: -7.597 eV per atom
- V: 353.9 Å³ per cell
- Energy relative to the elements, uncorrected: -2.445 eV/atom
- Spin magnetization: 2.00 μB per cell
- Theoretical density: 6840 kg/m3

# 8
Here is Cs3Na2NpO6 after structural relaxation from the Alexandria database. Energies are from PBE-GGA.

Unit cell a=6.392 b=6.392 c=6.955 alpha=97.92 beta=97.92 gamma=120.62
Atoms (fractional coordinates):
Cs: 0.000 0.000 0.000
Cs: 0.326 0.674 0.000
Cs: 0.674 0.326 0.000
Na: 0.168 0.832 0.500
Na: 0.832 0.168 0.500
Np: 0.500 0.500 0.500
O: 0.175 0.438 0.332
O: 0.300 0.300 0.688
O: 0.438 0.175 0.332
O: 0.562 0.825 0.668
O: 0.700 0.700 0.312
O: 0.825 0.562 0.668

Output
- Raw total energy: -5.951 eV per atom
- V: 234.9 Å³ per cell
- Energy relative to the elements, uncorrected: -1.960 eV/atom
- Spin magnetization: 0.00 μB per cell
- Theoretical density: 5498 kg/m3

# 9
Here is CsNa2Np2O7 after structural relaxation from the Alexandria database. Energies are from PBE-GGA.

Unit cell a=10.355 b=10.355 c=10.355 alpha=155.71 beta=155.71 gamma=34.61
Atoms (fractional coordinates):
Cs: 0.000 0.000 0.000
Na: 0.250 0.750 0.500
Na: 0.750 0.250 0.500
Np: 0.390 0.390 0.000
Np: 0.610 0.610 0.000
O: 0.113 0.613 0.500
O: 0.290 0.290 0.000
O: 0.387 0.887 0.500
O: 0.500 0.500 0.000
O: 0.613 0.113 0.500
O: 0.710 0.710 0.000
O: 0.887 0.387 0.500

Output
- Raw total energy: -7.812 eV per atom
- V: 187.6 Å³ per cell
- Energy relative to the elements, uncorrected: -2.472 eV/atom
- Spin magnetization: 3.00 μB per cell
- Theoretical density: 6770 kg/m3

# 10
Here is Cs2Na2NpO6 after structural relaxation from the Alexandria database. Energies are from PBE-GGA.

Unit cell a=6.043 b=6.043 c=7.247 alpha=101.47 beta=101.47 gamma=115.83
Atoms (fractional coordinates):
Cs: 0.181 0.819 0.000
Cs: 0.819 0.181 0.000
Na: 0.340 0.660 0.500
Na: 0.660 0.340 0.500
Np: 0.000 0.000 0.500
O: 0.043 0.329 0.671
O: 0.205 0.205 0.345
O: 0.329 0.043 0.671
O: 0.671 0.957 0.329
O: 0.795 0.795 0.655
O: 0.957 0.671 0.329

Output
- Raw total energy: -6.216 eV per atom
- V: 220.9 Å³ per cell
- Energy relative to the elements, uncorrected: -1.940 eV/atom
- Spin magnetization: 1.12 μB per cell
- Theoretical density: 4848 kg/m3

# 11
Here is CsNa3Np2S6 after structural relaxation from the Alexandria database. Energies are from PBE-GGA.

Unit cell a=8.803 b=8.803 c=10.075 alpha=100.77 beta=100.77 gamma=26.78
Atoms (fractional coordinates):
Cs: 0.000 0.000 0.000
Na: 0.000 0.000 0.500
Na: 0.352 0.352 0.269
Na: 0.648 0.648 0.731
Np: 0.332 0.332 0.648
Np: 0.668 0.668 0.352
S: 0.171 0.171 0.541
S: 0.188 0.188 0.191
S: 0.485 0.485 0.706
S: 0.515 0.515 0.294
S: 0.812 0.812 0.809
S: 0.829 0.829 0.459

Output
- Raw total energy: -5.863 eV per atom
- V: 345.2 Å³ per cell
- Energy relative to the elements, uncorrected: -1.242 eV/atom
- Spin magnetization: 6.00 μB per cell
- Theoretical density: 4177 kg/m3

# 12
Here is Cs3NaNp2S6 after structural relaxation from the Alexandria database. Energies are from PBE-GGA.

Unit cell a=7.203 b=7.203 c=8.357 alpha=98.18 beta=98.18 gamma=120.01
Atoms (fractional coordinates):
Cs: 0.000 0.000 0.000
Cs: 0.343 0.657 0.000
Cs: 0.657 0.343 0.000
Na: 0.500 0.500 0.500
Np: 0.167 0.833 0.500
Np: 0.833 0.167 0.500
S: 0.074 0.439 0.317
S: 0.197 0.197 0.678
S: 0.439 0.074 0.317
S: 0.561 0.926 0.683
S: 0.803 0.803 0.322
S: 0.926 0.561 0.683

Output
- Raw total energy: -5.860 eV per atom
- V: 360.0 Å³ per cell
- Energy relative to the elements, uncorrected: -1.316 eV/atom
- Spin magnetization: 6.00 μB per cell
- Theoretical density: 5019 kg/m3

# 13
Here is Cs3NaNp3S8 after structural relaxation from the Alexandria database. Energies are from PBE-GGA.

Unit cell a=8.181 b=8.181 c=9.334 alpha=115.99 beta=115.99 gamma=60.00
Atoms (fractional coordinates):
Cs: 0.000 0.000 0.000
Cs: 0.000 0.500 0.000
Cs: 0.500 0.000 0.000
Na: 0.000 0.000 0.500
Np: 0.000 0.500 0.500
Np: 0.500 0.000 0.500
Np: 0.500 0.500 0.500
S: 0.237 0.237 0.674
S: 0.240 0.698 0.677
S: 0.273 0.273 0.320
S: 0.302 0.760 0.323
S: 0.698 0.240 0.677
S: 0.727 0.727 0.680
S: 0.760 0.302 0.323
S: 0.763 0.763 0.326

Output
- Raw total energy: -6.378 eV per atom
- V: 466.6 Å³ per cell
- Energy relative to the elements, uncorrected: -1.330 eV/atom
- Spin magnetization: 9.00 μB per cell
- Theoretical density: 4944 kg/m3

# 14
Here is Cs4NaNp3S8 after structural relaxation from the Alexandria database. Energies are from PBE-GGA.

Unit cell a=9.331 b=9.331 c=9.331 alpha=53.03 beta=53.03 gamma=53.03
Atoms (fractional coordinates):
Cs: 0.000 0.000 0.000
Cs: 0.000 0.500 0.500
Cs: 0.500 0.000 0.500
Cs: 0.500 0.500 0.000
Na: 0.500 0.500 0.500
Np: 0.000 0.000 0.500
Np: 0.000 0.500 0.000
Np: 0.500 0.000 0.000
S: 0.203 0.737 0.737
S: 0.227 0.227 0.227
S: 0.263 0.263 0.797
S: 0.263 0.797 0.263
S: 0.737 0.203 0.737
S: 0.737 0.737 0.203
S: 0.773 0.773 0.773
S: 0.797 0.263 0.263

Output
- Raw total energy: -6.102 eV per atom
- V: 480.6 Å³ per cell
- Energy relative to the elements, uncorrected: -1.316 eV/atom
- Spin magnetization: 10.00 μB per cell
- Theoretical density: 5259 kg/m3

# 15
Here is Cs2NaNp2Se6 after structural relaxation from the Alexandria database. Energies are from PBE-GGA.

Unit cell a=7.339 b=7.339 c=8.771 alpha=97.09 beta=97.09 gamma=120.55
Atoms (fractional coordinates):
Cs: 0.157 0.843 0.000
Cs: 0.843 0.157 0.000
Na: 0.000 0.000 0.500
Np: 0.335 0.665 0.500
Np: 0.665 0.335 0.500
Se: 0.052 0.417 0.681
Se: 0.311 0.311 0.317
Se: 0.417 0.052 0.681
Se: 0.583 0.948 0.319
Se: 0.689 0.689 0.683
Se: 0.948 0.583 0.319

Output
- Raw total energy: -5.696 eV per atom
- V: 394.0 Å³ per cell
- Energy relative to the elements, uncorrected: -1.167 eV/atom
- Spin magnetization: 5.00 μB per cell
- Theoretical density: 5211 kg/m3

# 16
Here is Cs3NaNp2Se6 after structural relaxation from the Alexandria database. Energies are from PBE-GGA.

Unit cell a=7.512 b=7.512 c=8.676 alpha=98.22 beta=98.22 gamma=120.00
Atoms (fractional coordinates):
Cs: 0.000 0.000 0.000
Cs: 0.343 0.657 0.000
Cs: 0.657 0.343 0.000
Na: 0.500 0.500 0.500
Np: 0.167 0.833 0.500
Np: 0.833 0.167 0.500
Se: 0.075 0.438 0.313
Se: 0.201 0.201 0.681
Se: 0.438 0.075 0.313
Se: 0.562 0.925 0.687
Se: 0.799 0.799 0.319
Se: 0.925 0.562 0.687

Output
- Raw total energy: -5.437 eV per atom
- V: 406.3 Å³ per cell
- Energy relative to the elements, uncorrected: -1.215 eV/atom
- Spin magnetization: 6.00 μB per cell
- Theoretical density: 5596 kg/m3

# 17
Here is CsNaNpSe3 after structural relaxation from the Alexandria database. Energies are from PBE-GGA.

Unit cell a=9.532 b=4.381 c=10.428 alpha=90.00 beta=109.12 gamma=90.00
Atoms (fractional coordinates):
Cs: 0.233 0.250 0.263
Cs: 0.767 0.750 0.737
Na: 0.069 0.250 0.605
Na: 0.931 0.750 0.395
Np: 0.326 0.750 0.857
Np: 0.674 0.250 0.143
Se: 0.143 0.250 0.886
Se: 0.239 0.750 0.575
Se: 0.476 0.750 0.142
Se: 0.524 0.250 0.858
Se: 0.761 0.250 0.425
Se: 0.857 0.750 0.114

Output
- Raw total energy: -5.401 eV per atom
- V: 411.4 Å³ per cell
- Energy relative to the elements, uncorrected: -1.140 eV/atom
- Spin magnetization: 6.00 μB per cell
- Theoretical density: 5084 kg/m3

# 18
Here is CsNaNp2Te4 after structural relaxation from the Alexandria database. Energies are from PBE-GGA.

Unit cell a=8.046 b=8.046 c=16.501 alpha=90.00 beta=90.00 gamma=146.03
Atoms (fractional coordinates):
Cs: 0.117 0.883 0.750
Cs: 0.883 0.117 0.250
Na: 0.173 0.827 0.250
Na: 0.827 0.173 0.750
Np: 0.372 0.628 0.562
Np: 0.372 0.628 0.938
Np: 0.628 0.372 0.062
Np: 0.628 0.372 0.438
Te: 0.000 0.000 0.000
Te: 0.000 0.000 0.500
Te: 0.262 0.738 0.095
Te: 0.262 0.738 0.405
Te: 0.434 0.566 0.750
Te: 0.566 0.434 0.250
Te: 0.738 0.262 0.595
Te: 0.738 0.262 0.905

Output
- Raw total energy: -5.827 eV per atom
- V: 596.8 Å³ per cell
- Energy relative to the elements, uncorrected: -0.749 eV/atom
- Spin magnetization: 16.00 μB per cell
- Theoretical density: 6345 kg/m3

# 19
Here is Cs3NaNp2Te6 after structural relaxation from the Alexandria database. Energies are from PBE-GGA.

Unit cell a=8.045 b=8.045 c=9.232 alpha=98.29 beta=98.29 gamma=119.98
Atoms (fractional coordinates):
Cs: 0.000 0.000 0.000
Cs: 0.343 0.657 0.000
Cs: 0.657 0.343 0.000
Na: 0.500 0.500 0.500
Np: 0.167 0.833 0.500
Np: 0.833 0.167 0.500
Te: 0.078 0.436 0.309
Te: 0.205 0.205 0.685
Te: 0.436 0.078 0.309
Te: 0.564 0.922 0.691
Te: 0.795 0.795 0.315
Te: 0.922 0.564 0.691

Output
- Raw total energy: -4.941 eV per atom
- V: 495.7 Å³ per cell
- Energy relative to the elements, uncorrected: -0.890 eV/atom
- Spin magnetization: 6.00 μB per cell
- Theoretical density: 5565 kg/m3

# 20
Here is CsNaNpTe3 after structural relaxation from the Alexandria database. Energies are from PBE-GGA.

Unit cell a=9.985 b=4.678 c=11.174 alpha=90.00 beta=109.47 gamma=90.00
Atoms (fractional coordinates):
Cs: 0.230 0.250 0.264
Cs: 0.770 0.750 0.736
Na: 0.072 0.250 0.604
Na: 0.928 0.750 0.396
Np: 0.323 0.750 0.855
Np: 0.677 0.250 0.145
Te: 0.132 0.250 0.886
Te: 0.249 0.750 0.570
Te: 0.473 0.750 0.144
Te: 0.527 0.250 0.856
Te: 0.751 0.250 0.430
Te: 0.868 0.750 0.114

Output
- Raw total energy: -4.912 eV per atom
- V: 492.1 Å³ per cell
- Energy relative to the elements, uncorrected: -0.822 eV/atom
- Spin magnetization: 6.00 μB per cell
- Theoretical density: 5235 kg/m3